Entry 1:
The following is a DFT calculation (GGA-PBE) of a geometry-optimized LiBeAs2Br structure.

abc: 4.599 4.599 4.889
angles: 90.00 90.00 90.00
Space group P4/mmm (No. 123)
One atom of each set of equivalent atoms:
1 Li 0.000 0.000 0.000 [1 per cell]
2 Be 0.500 0.500 0.500 [1 per cell]
3 As 0.000 0.500 0.000 [2 per cell]
4 Br 0.000 0.000 0.500 [1 per cell]

Summary:
E	-2.529	eV per atom
relative energy among the computed polymorphs	840	meV/atom
formation energy (no corrections)	0.794	eV per atom

Entry 2:
The following is a DFT calculation (GGA-PBE) of a geometry-optimized LiBeAs2Br structure.

abc: 4.207 4.207 8.400
angles: 90.00 90.00 90.00
Space group P4/mmm (No. 123)
One atom of each set of equivalent atoms:
1 Li 0.000 0.000 0.000 [1 per cell]
2 Be 0.500 0.500 0.500 [1 per cell]
3 As 0.000 0.500 0.500 [2 per cell]
4 Br 0.500 0.500 0.000 [1 per cell]

Summary:
E	-3.368	eV per atom
relative energy among the computed polymorphs	0	meV/atom
formation energy (no corrections)	-0.046	eV per atom